1.
A relaxed structure of Cr2FeOs. Source: Alexandria, functional GGA-PBE.

Structure (CIF):
```
data_Cr2FeOs
_chemical_formula_sum 'Cr2 Fe1 Os1'
_cell_length_a 3.665
_cell_length_b 3.665
_cell_length_c 3.646
_cell_angle_alpha 90.00
_cell_angle_beta 90.00
_cell_angle_gamma 90.00
_symmetry_space_group_name_H-M 'P 4/m m m'
_symmetry_Int_Tables_number 123
_symmetry_space_group_name_Hall '-P 4 2'
loop_
_atom_site_label
_atom_site_type_symbol
_atom_site_fract_x
_atom_site_fract_y
_atom_site_fract_z
Cr1 Cr 0.000 0.500 0.000
Fe1 Fe 0.000 0.000 0.500
Os1 Os 0.500 0.500 0.500
```

* excess energy over the best structure of this formula in the dataset: 0.010 eV per atom
* spin magnetization: 1.142 μB per cell
* energy of formation: 0.0981 eV/atom


2.
A relaxed structure of CrFe2Os. Source: Alexandria, functional GGA-PBE.

Structure (CIF):
```
data_CrFe2Os
_chemical_formula_sum 'Cr4 Fe8 Os4'
_cell_length_a 3.518
_cell_length_b 3.518
_cell_length_c 17.388
_cell_angle_alpha 90.00
_cell_angle_beta 90.00
_cell_angle_gamma 90.00
_symmetry_space_group_name_H-M 'I -4 2 d'
_symmetry_Int_Tables_number 122
_symmetry_space_group_name_Hall 'I -4 2bw'
loop_
_atom_site_label
_atom_site_type_symbol
_atom_site_fract_x
_atom_site_fract_y
_atom_site_fract_z
Cr1 Cr 0.000 0.000 0.000
Fe1 Fe 0.248 0.250 0.125
Os1 Os 0.000 0.000 0.500
```

* spin magnetization: 9.666 μB per cell
* energy of formation: 0.6786 eV/atom


3.
A relaxed structure of Cr4FeOs. Source: Alexandria, functional GGA-PBE.

Structure (CIF):
```
data_Cr4FeOs
_chemical_formula_sum 'Cr16 Fe4 Os4'
_cell_length_a 6.622
_cell_length_b 6.622
_cell_length_c 6.622
_cell_angle_alpha 90.00
_cell_angle_beta 90.00
_cell_angle_gamma 90.00
_symmetry_space_group_name_H-M 'F -4 3 m'
_symmetry_Int_Tables_number 216
_symmetry_space_group_name_Hall 'F -4 2 3'
loop_
_atom_site_label
_atom_site_type_symbol
_atom_site_fract_x
_atom_site_fract_y
_atom_site_fract_z
Cr1 Cr 0.124 0.124 0.124
Fe1 Fe 0.250 0.250 0.750
Os1 Os 0.000 0.000 0.500
```

* spin magnetization: 6.414 μB per cell
* energy of formation: 0.1140 eV/atom


4.
A relaxed structure of Cr2FeOs. Source: Alexandria, functional GGA-PBE.

Structure (CIF):
```
data_Cr2FeOs
_chemical_formula_sum 'Cr8 Fe4 Os4'
_cell_length_a 5.834
_cell_length_b 5.834
_cell_length_c 5.834
_cell_angle_alpha 90.00
_cell_angle_beta 90.00
_cell_angle_gamma 90.00
_symmetry_space_group_name_H-M 'F -4 3 m'
_symmetry_Int_Tables_number 216
_symmetry_space_group_name_Hall 'F -4 2 3'
loop_
_atom_site_label
_atom_site_type_symbol
_atom_site_fract_x
_atom_site_fract_y
_atom_site_fract_z
Cr1 Cr 0.000 0.000 0.000
Cr2 Cr 0.250 0.250 0.250
Fe1 Fe 0.000 0.000 0.500
Os1 Os 0.250 0.250 0.750
```

* excess energy over the best structure of this formula in the dataset: 0.031 eV per atom
* spin magnetization: 13.146 μB per cell
* energy of formation: 0.1193 eV/atom


5.
A relaxed structure of Cr2FeOs. Source: Alexandria, functional GGA-PBE.

Structure (CIF):
```
data_Cr2FeOs
_chemical_formula_sum 'Cr2 Fe1 Os1'
_cell_length_a 2.905
_cell_length_b 2.905
_cell_length_c 5.812
_cell_angle_alpha 90.00
_cell_angle_beta 90.00
_cell_angle_gamma 90.00
_symmetry_space_group_name_H-M 'P 4 m m'
_symmetry_Int_Tables_number 99
loop_
_symmetry_equiv_pos_as_xyz
'x,y,z'
'-y,x,z'
'-x,-y,z'
'y,-x,z'
'-x,y,z'
'y,x,z'
'x,-y,z'
'-y,-x,z'
loop_
_atom_site_label
_atom_site_type_symbol
_atom_site_fract_x
_atom_site_fract_y
_atom_site_fract_z
Cr1 Cr 0.000 0.000 0.000
Cr2 Cr 0.500 0.500 0.230
Fe1 Fe 0.000 0.000 0.457
Os1 Os 0.500 0.500 0.734
```

* excess energy over the best structure of this formula in the dataset: 0.036 eV per atom
* spin magnetization: 2.401 μB per cell
* energy of formation: 0.1243 eV/atom


6.
A relaxed structure of CrFeOs. Source: Alexandria, functional GGA-PBE.

Structure (CIF):
```
data_CrFeOs
_chemical_formula_sum 'Cr4 Fe4 Os4'
_cell_length_a 3.714
_cell_length_b 10.908
_cell_length_c 3.714
_cell_angle_alpha 90.00
_cell_angle_beta 90.00
_cell_angle_gamma 90.00
_symmetry_space_group_name_H-M 'C m c m'
_symmetry_Int_Tables_number 63
_symmetry_space_group_name_Hall '-C 2c 2'
loop_
_atom_site_label
_atom_site_type_symbol
_atom_site_fract_x
_atom_site_fract_y
_atom_site_fract_z
Cr1 Cr 0.000 0.248 0.250
Fe1 Fe 0.000 0.083 0.750
Os1 Os 0.000 0.409 0.750
```

* excess energy over the best structure of this formula in the dataset: 0.034 eV per atom
* spin magnetization: 6.083 μB per cell
* energy of formation: 0.0984 eV/atom


Going through the records in order, we get electronic total energy values of -9.637, -8.766, -9.584, -9.615, -9.610, -9.674 eV/atom.